1.
An optimized crystal structure of Tb6Dy19Tm4. Source: Alexandria, functional PBE-GGA.

Summary:
Formation enthalpy at 0 K ... 0.380 eV per atom
Final energy ... -0.30939 Ry per atom
Magnetic moment ... 0.001 μB/cell

a b c (Å): 12.359 12.359 12.359
angles (deg): 90.00 90.00 90.00
Space group I23 (No. 197)
Unique sites:
Tb 0.000 0.127 0.500 [12 per cell]
Dy 0.000 0.000 0.000 [2 per cell]
Dy 0.000 0.000 0.259 [12 per cell]
Dy 0.063 0.279 0.740 [24 per cell]
Tm 0.179 0.179 0.179 [8 per cell]

---

2.
An optimized crystal structure of Tb12DyTm7. Source: Alexandria, functional PBE-GGA.

Summary:
Formation enthalpy at 0 K ... 0.301 eV per atom
Final energy ... -0.31400 Ry per atom
Relative energy among the computed polymorphs ... 0.0 kJ per mole of atoms
Magnetic moment ... 0.000 μB/cell

a b c (Å): 12.7306 12.7306 13.6176
angles (deg): 90.00 90.00 120.00
Space group R-3 (No. 148, hexagonal axes)
Unique sites:
Tb 0.0000 0.4360 0.2504 [18 per cell]
Tb 0.0686 0.8695 0.8457 [18 per cell]
Dy 0.0000 0.0000 0.5000 [3 per cell]
Tm 0.0000 0.0000 0.0000 [3 per cell]
Tm 0.0687 0.1997 0.3493 [18 per cell]

---

3.
An optimized crystal structure of Tb6Dy3Tm2. Source: Alexandria, functional PBE-GGA.

Summary:
Formation enthalpy at 0 K ... 0.018 eV per atom
Final energy ... -0.33630 Ry per atom
Relative energy among the computed polymorphs ... 0.0 kJ per mole of atoms
Magnetic moment ... 0.000 μB/cell

a b c (Å): 3.5365 3.5365 95.0030
angles (deg): 90.00 90.00 120.00
Space group R-3m (No. 166, hexagonal axes)
Unique sites:
Tb 0.0000 0.0000 0.0913 [6 per cell]
Tb 0.0000 0.0000 0.1820 [6 per cell]
Tb 0.0000 0.0000 0.3638 [6 per cell]
Dy 0.0000 0.0000 0.0000 [3 per cell]
Dy 0.0000 0.0000 0.2725 [6 per cell]
Tm 0.0000 0.0000 0.4547 [6 per cell]

---

4.
An optimized crystal structure of Tb2Dy8Tm. Source: Alexandria, functional PBE-GGA.

Summary:
Formation enthalpy at 0 K ... 0.188 eV per atom
Final energy ... -0.32394 Ry per atom
Relative energy among the computed polymorphs ... 1.5 kJ per mole of atoms
Magnetic moment ... 0.000 μB/cell

a b c (Å): 17.117 6.704 6.424
angles (deg): 90.00 109.84 90.00
Space group C2/m (No. 12)
Unique sites:
Tb 0.217 0.000 0.109 [4 per cell]
Dy 0.059 0.000 0.249 [4 per cell]
Dy 0.102 0.264 0.691 [8 per cell]
Dy 0.209 0.500 0.323 [4 per cell]
Tm 0.000 0.500 0.000 [2 per cell]

---

5.
An optimized crystal structure of TbDy4Tm2. Source: Alexandria, functional PBE-GGA.

Summary:
Formation enthalpy at 0 K ... 0.139 eV per atom
Final energy ... -0.32555 Ry per atom
Relative energy among the computed polymorphs ... 12.8 kJ per mole of atoms
Magnetic moment ... 0.000 μB/cell

a b c (Å): 6.105 6.471 11.404
angles (deg): 90.00 104.97 90.00
Space group P2_1/m (No. 11)
Unique sites:
Tb 0.022 0.250 0.353 [2 per cell]
Dy 0.159 0.250 0.654 [2 per cell]
Dy 0.293 0.750 0.933 [2 per cell]
Dy 0.354 0.503 0.212 [4 per cell]
Tm 0.143 0.250 0.940 [2 per cell]
Tm 0.394 0.750 0.502 [2 per cell]

---

6.
An optimized crystal structure of Tb6Dy3Tm2. Source: Alexandria, functional PBE-GGA.

Summary:
Formation enthalpy at 0 K ... 0.292 eV per atom
Final energy ... -0.31617 Ry per atom
Relative energy among the computed polymorphs ... 26.4 kJ per mole of atoms
Magnetic moment ... 0.000 μB/cell

a b c (Å): 4.701 4.701 33.016
angles (deg): 90.00 90.00 90.00
Space group I4/mmm (No. 139)
Unique sites:
Tb 0.000 0.000 0.197 [4 per cell]
Tb 0.000 0.500 0.120 [8 per cell]
Dy 0.000 0.000 0.301 [4 per cell]
Dy 0.000 0.000 0.500 [2 per cell]
Tm 0.000 0.000 0.046 [4 per cell]

---

7.
An optimized crystal structure of Tb6DyTm2. Source: Alexandria, functional PBE-GGA.

Summary:
Formation enthalpy at 0 K ... 0.111 eV per atom
Final energy ... -0.32934 Ry per atom
Relative energy among the computed polymorphs ... 9.0 kJ per mole of atoms
Magnetic moment ... 0.000 μB/cell

a b c (Å): 12.697 14.144 6.536
angles (deg): 90.00 104.08 90.00
Space group C2/c (No. 15)
Unique sites:
Tb 0.036 0.184 0.003 [8 per cell]
Tb 0.135 0.412 0.818 [8 per cell]
Tb 0.239 0.200 0.725 [8 per cell]
Dy 0.000 0.380 0.250 [4 per cell]
Tm 0.141 0.023 0.366 [8 per cell]

---

8.
An optimized crystal structure of Tb2Dy6Tm. Source: Alexandria, functional PBE-GGA.

Summary:
Formation enthalpy at 0 K ... 0.019 eV per atom
Final energy ... -0.33627 Ry per atom
Magnetic moment ... 0.000 μB/cell

a b c (Å): 10.595 10.595 4.994
angles (deg): 90.00 90.00 90.00
Space group P4_2/mnm (No. 136)
Unique sites:
Tb 0.166 0.166 0.000 [4 per cell]
Dy 0.000 0.333 0.500 [8 per cell]
Dy 0.166 0.834 0.000 [4 per cell]
Tm 0.000 0.000 0.500 [2 per cell]

---

9.
An optimized crystal structure of Tb3Dy2Tm6. Source: Alexandria, functional PBE-GGA.

Summary:
Formation enthalpy at 0 K ... 0.285 eV per atom
Final energy ... -0.31264 Ry per atom
Relative energy among the computed polymorphs ... 25.2 kJ per mole of atoms
Magnetic moment ... 0.000 μB/cell

a b c (Å): 4.671 4.671 32.842
angles (deg): 90.00 90.00 90.00
Space group I4/mmm (No. 139)
Unique sites:
Tb 0.000 0.000 0.000 [2 per cell]
Tb 0.000 0.000 0.202 [4 per cell]
Dy 0.000 0.000 0.454 [4 per cell]
Tm 0.000 0.000 0.305 [4 per cell]
Tm 0.000 0.500 0.122 [8 per cell]

---

10.
An optimized crystal structure of Tb2DyTm. Source: Alexandria, functional PBE-GGA.

Summary:
Formation enthalpy at 0 K ... 0.019 eV per atom
Final energy ... -0.33548 Ry per atom
Relative energy among the computed polymorphs ... 1.0 kJ per mole of atoms
Magnetic moment ... 0.000 μB/cell

a b c (Å): 3.5320 3.5320 34.4948
angles (deg): 90.00 90.00 120.00
Space group R-3m (No. 166, hexagonal axes)
Unique sites:
Tb 0.0000 0.0000 0.2495 [6 per cell]
Dy 0.0000 0.0000 0.0000 [3 per cell]
Tm 0.0000 0.0000 0.5000 [3 per cell]

---

11.
An optimized crystal structure of Tb4Dy8Tm3. Source: Alexandria, functional PBE-GGA.

Summary:
Formation enthalpy at 0 K ... 0.397 eV per atom
Final energy ... -0.30768 Ry per atom
Relative energy among the computed polymorphs ... 24.9 kJ per mole of atoms
Magnetic moment ... 0.010 μB/cell

a b c (Å): 13.266 12.723 6.690
angles (deg): 90.00 120.13 90.00
Space group C2/m (No. 12)
Unique sites:
Tb 0.000 0.000 0.000 [2 per cell]
Tb 0.000 0.000 0.500 [2 per cell]
Tb 0.250 0.250 0.000 [4 per cell]
Dy 0.000 0.253 0.000 [4 per cell]
Dy 0.000 0.359 0.500 [4 per cell]
Dy 0.230 0.500 0.962 [4 per cell]
Dy 0.234 0.500 0.488 [4 per cell]
Tm 0.000 0.500 0.000 [2 per cell]
Tm 0.250 0.250 0.500 [4 per cell]

---

12.
An optimized crystal structure of Tb3DyTm8. Source: Alexandria, functional PBE-GGA.

Summary:
Formation enthalpy at 0 K ... 0.740 eV per atom
Final energy ... -0.27796 Ry per atom
Magnetic moment ... 0.000 μB/cell

a b c (Å): 7.591 7.591 15.212
angles (deg): 90.00 90.00 90.00
Space group I4/mmm (No. 139)
Unique sites:
Tb 0.000 0.000 0.000 [2 per cell]
Tb 0.000 0.500 0.250 [4 per cell]
Dy 0.000 0.000 0.500 [2 per cell]
Tm 0.250 0.250 0.125 [16 per cell]

---

13.
An optimized crystal structure of Tb4Dy8Tm. Source: Alexandria, functional PBE-GGA.

Summary:
Formation enthalpy at 0 K ... 0.217 eV per atom
Final energy ... -0.32221 Ry per atom
Magnetic moment ... 0.000 μB/cell

a b c (Å): 7.2364 7.2364 27.4255
angles (deg): 90.00 90.00 120.00
Space group R-3m (No. 166, hexagonal axes)
Unique sites:
Tb 0.0000 0.0000 0.0000 [3 per cell]
Tb 0.0000 0.5000 0.0000 [9 per cell]
Dy 0.0000 0.0000 0.2147 [6 per cell]
Dy 0.0340 0.5170 0.7667 [18 per cell]
Tm 0.0000 0.0000 0.5000 [3 per cell]

---

14.
An optimized crystal structure of Tb4Dy4Tm. Source: Alexandria, functional PBE-GGA.

Summary:
Formation enthalpy at 0 K ... 0.018 eV per atom
Final energy ... -0.33677 Ry per atom
Relative energy among the computed polymorphs ... 0.0 kJ per mole of atoms
Magnetic moment ... 0.000 μB/cell

a b c (Å): 10.620 10.620 4.994
angles (deg): 90.00 90.00 90.00
Space group I4/mmm (No. 139)
Unique sites:
Tb 0.166 0.166 0.000 [8 per cell]
Dy 0.000 0.333 0.500 [8 per cell]
Tm 0.000 0.000 0.500 [2 per cell]

---

15.
An optimized crystal structure of Tb3Dy4Tm. Source: Alexandria, functional PBE-GGA.

Summary:
Formation enthalpy at 0 K ... 0.017 eV per atom
Final energy ... -0.33658 Ry per atom
Relative energy among the computed polymorphs ... 1.0 kJ per mole of atoms
Magnetic moment ... 0.000 μB/cell

a b c (Å): 3.540 6.121 11.706
angles (deg): 84.93 81.58 89.94
Space group P-1 (No. 2)
Unique sites:
Tb 0.000 0.000 0.000 [1 per cell]
Tb 0.250 0.750 0.500 [2 per cell]
Dy 0.125 0.375 0.751 [2 per cell]
Dy 0.375 0.125 0.249 [2 per cell]
Tm 0.500 0.500 0.000 [1 per cell]

---

16.
An optimized crystal structure of Tb5Dy4Tm. Source: Alexandria, functional PBE-GGA.

Summary:
Formation enthalpy at 0 K ... 0.058 eV per atom
Final energy ... -0.33405 Ry per atom
Relative energy among the computed polymorphs ... 0.0 kJ per mole of atoms
Magnetic moment ... 0.000 μB/cell

a b c (Å): 3.542 6.780 13.809
angles (deg): 82.23 89.99 74.99
Space group P-1 (No. 2)
Unique sites:
Tb 0.000 0.000 0.000 [1 per cell]
Tb 0.048 0.917 0.383 [2 per cell]
Tb 0.311 0.375 0.415 [2 per cell]
Dy 0.351 0.328 0.792 [2 per cell]
Dy 0.426 0.203 0.191 [2 per cell]
Tm 0.000 0.500 0.000 [1 per cell]

---

17.
An optimized crystal structure of TbDy7Tm3. Source: Alexandria, functional PBE-GGA.

Summary:
Formation enthalpy at 0 K ... 0.144 eV per atom
Final energy ... -0.32522 Ry per atom
Relative energy among the computed polymorphs ... 0.0 kJ per mole of atoms
Magnetic moment ... 0.000 μB/cell

a b c (Å): 6.911 5.487 9.798
angles (deg): 90.00 110.04 90.00
Space group P2/m (No. 10)
Unique sites:
Tb 0.000 0.000 0.000 [1 per cell]
Dy 0.000 0.000 0.500 [1 per cell]
Dy 0.147 0.500 0.791 [2 per cell]
Dy 0.323 0.500 0.142 [2 per cell]
Dy 0.421 0.000 0.331 [2 per cell]
Tm 0.278 0.500 0.498 [2 per cell]
Tm 0.500 0.000 0.000 [1 per cell]

---

18.
An optimized crystal structure of Tb8Dy5Tm. Source: Alexandria, functional PBE-GGA.

Summary:
Formation enthalpy at 0 K ... 0.258 eV per atom
Final energy ... -0.31979 Ry per atom
Magnetic moment ... 0.000 μB/cell

a b c (Å): 9.535 9.535 10.050
angles (deg): 90.00 90.00 90.00
Space group I-4 (No. 82)
Unique sites:
Tb 0.070 0.325 0.094 [8 per cell]
Tb 0.088 0.175 0.753 [8 per cell]
Dy 0.000 0.000 0.000 [2 per cell]
Dy 0.109 0.210 0.424 [8 per cell]
Tm 0.000 0.500 0.750 [2 per cell]

---

19.
An optimized crystal structure of Tb7Dy2Tm2. Source: Alexandria, functional PBE-GGA.

Summary:
Formation enthalpy at 0 K ... 0.162 eV per atom
Final energy ... -0.32591 Ry per atom
Relative energy among the computed polymorphs ... 0.0 kJ per mole of atoms
Magnetic moment ... 0.000 μB/cell

a b c (Å): 11.174 11.361 5.996
angles (deg): 90.00 112.80 90.00
Space group C2/m (No. 12)
Unique sites:
Tb 0.000 0.000 0.000 [2 per cell]
Tb 0.176 0.234 0.174 [8 per cell]
Tb 0.233 0.000 0.590 [4 per cell]
Dy 0.000 0.217 0.500 [4 per cell]
Tm 0.085 0.500 0.801 [4 per cell]

---

Ordered V results: 32.5 31.9 31.2 31.5 31.1 33.2 31.6 31.1 32.6 31.1 32.6 36.5 31.9 31.3 31.2 31.7 31.7 32.6 31.9; unit Å³/atom.